Material: HfCo2ClO
Method: DFT, GGA+U
State: relaxed

Cell: 5.2079 5.2079 3.9292 Å, 90.00 90.00 90.00°
Last column: nearest neighbours and their distance in Å.
Sites, in units of the cell vectors:
Hf (0.0000, 0.0000, 0.0000)  2 O 1.96
Co (0.0000, 0.5000, 0.0000)  2 Hf 2.60
Co (0.5000, 0.0000, 0.0000)  2 Hf 2.60
Cl (0.5000, 0.5000, 0.5000)  8 Co 3.26
O (0.0000, 0.0000, 0.5000)  2 Hf 1.96

- Raw total energy: -5.355 eV/atom
- SG: No. 123
- Spin magnetization: 3.4 Bohr magnetons per cell